Entry w
## Pm5Nd4Tm2 (PBE-GGA)

Data for a relaxed structure of Pm5Nd4Tm2.

Cell: 3.527 9.448 12.672 Å, 111.89 98.00 90.00°
Element x y z (fractional)
Pm 0.848 0.054 0.697
Pm 0.848 0.642 0.697
Pm 0.152 0.358 0.303
Pm 0.152 0.946 0.303
Pm 0.500 0.000 0.000
Nd 0.000 0.297 0.000
Nd 0.596 0.596 0.192
Nd 0.000 0.703 0.000
Nd 0.404 0.404 0.808
Tm 0.270 0.270 0.540
Tm 0.730 0.730 0.460

Calculated values
Total moment = 0.000 μB per cell
Density = 7.029 g cm⁻³
Symmetry = No. 71
Crystal system = orthorhombic

Entry x
## Pm5Nd4Tm2 (PBE-GGA)

Data for a relaxed structure of Pm5Nd4Tm2.

Cell: 3.572 8.791 12.277 Å, 94.37 98.36 90.00°
Element x y z (fractional)
Pm 0.816 0.524 0.632
Pm 0.184 0.476 0.368
Pm 0.870 0.955 0.740
Pm 0.500 0.000 0.000
Pm 0.130 0.045 0.260
Nd 0.274 0.174 0.548
Nd 0.960 0.653 0.920
Nd 0.726 0.826 0.452
Nd 0.040 0.347 0.080
Tm 0.413 0.303 0.825
Tm 0.587 0.697 0.175

Calculated values
Total moment = 0.000 μB per cell
Density = 7.161 g cm⁻³
Symmetry = No. 12
Crystal system = monoclinic

Name the least stable of them. entry w.

Entry w
## PmNd2Tm2 (PBE-GGA)

Data for a relaxed structure of PmNd2Tm2.

Cell: 6.454 6.454 11.610 Å, 96.43 96.43 126.65°
Element x y z (fractional)
Pm 0.750 0.250 0.500
Pm 0.500 0.500 0.000
Nd 0.411 0.589 0.500
Nd 0.161 0.839 0.000
Nd 0.089 0.911 0.500
Nd 0.839 0.161 0.000
Tm 0.125 0.375 0.750
Tm 0.625 0.375 0.250
Tm 0.625 0.375 0.750
Tm 0.625 0.875 0.250

Calculated values
Total moment = 0.000 μB per cell
Density = 6.818 g cm⁻³
Symmetry = No. 70
Crystal system = orthorhombic

Entry x
## PmNd2Tm2 (PBE-GGA)

Data for a relaxed structure of PmNd2Tm2.

Cell: 3.594 3.595 15.119 Å, 96.79 83.17 60.01°
Element x y z (fractional)
Pm 0.500 0.500 0.500
Nd 0.226 0.442 0.106
Nd 0.774 0.558 0.894
Tm 0.637 0.029 0.697
Tm 0.363 0.971 0.303

Calculated values
Total moment = 0.000 μB per cell
Density = 7.791 g cm⁻³
Symmetry = No. 12
Crystal system = monoclinic

Name the least stable of them. entry w.

Entry w
## PmNd4Tm3 (PBE-GGA)

Data for a relaxed structure of PmNd4Tm3.

Cell: 6.310 7.327 11.573 Å, 90.00 90.00 90.00°
Element x y z (fractional)
Pm 0.149 0.375 0.000
Pm 0.649 0.625 0.500
Nd 0.140 0.870 0.000
Nd 0.653 0.130 0.000
Nd 0.982 0.126 0.255
Nd 0.482 0.874 0.245
Nd 0.153 0.870 0.500
Nd 0.640 0.130 0.500
Nd 0.482 0.874 0.755
Nd 0.982 0.126 0.745
Tm 0.647 0.619 0.000
Tm 0.981 0.620 0.250
Tm 0.481 0.380 0.250
Tm 0.147 0.381 0.500
Tm 0.481 0.380 0.750
Tm 0.981 0.620 0.750

Calculated values
Total moment = 0.000 μB per cell
Density = 7.627 g cm⁻³
Symmetry = No. 31
Crystal system = orthorhombic

Entry x
## PmNd4Tm3 (PBE-GGA)

Data for a relaxed structure of PmNd4Tm3.

Cell: 7.200 7.198 10.208 Å, 90.00 90.00 90.00°
Element x y z (fractional)
Tm 0.000 0.310 0.000
Tm 0.248 0.061 0.750
Tm 0.752 0.561 0.750
Tm 0.000 0.810 0.500
Tm 0.752 0.561 0.250
Tm 0.248 0.061 0.250
Nd 0.000 0.811 0.000
Nd 0.500 0.311 0.000
Nd 0.752 0.061 0.750
Nd 0.248 0.561 0.750
Nd 0.500 0.811 0.500
Nd 0.000 0.311 0.500
Nd 0.248 0.561 0.250
Nd 0.752 0.061 0.250
Pm 0.500 0.811 0.000
Pm 0.500 0.311 0.500

Calculated values
Total moment = 0.000 μB per cell
Density = 7.714 g cm⁻³
Symmetry = No. 53
Crystal system = orthorhombic

Name the least stable of them. entry w.

Entry w
## PmNd3Tm (PBE-GGA)

Data for a relaxed structure of PmNd3Tm.

Cell: 7.106 9.453 8.761 Å, 135.75 90.00 112.08°
Element x y z (fractional)
Pm 0.443 0.886 0.114
Pm 0.557 0.114 0.886
Nd 0.095 0.691 0.308
Nd 0.750 0.500 0.502
Nd 0.596 0.691 0.308
Nd 0.404 0.309 0.692
Nd 0.905 0.309 0.692
Nd 0.250 0.500 0.498
Tm 0.057 0.113 0.886
Tm 0.943 0.887 0.114

Calculated values
Total moment = 0.000 μB per cell
Density = 7.169 g cm⁻³
Symmetry = No. 12
Crystal system = monoclinic

Entry x
## PmNd3Tm (PBE-GGA)

Data for a relaxed structure of PmNd3Tm.

Cell: 8.144 8.144 6.190 Å, 90.00 90.00 59.88°
Element x y z (fractional)
Pm 0.201 0.201 0.250
Pm 0.799 0.799 0.750
Nd 0.598 0.200 0.250
Nd 0.200 0.598 0.250
Nd 0.800 0.402 0.750
Nd 0.402 0.800 0.750
Nd 0.000 0.000 0.000
Nd 0.000 0.000 0.500
Tm 0.669 0.669 0.250
Tm 0.331 0.331 0.750

Calculated values
Total moment = 0.000 μB per cell
Density = 6.982 g cm⁻³
Symmetry = No. 63
Crystal system = orthorhombic

Name the least stable of them. entry x.

Entry w
## Pm4Nd3Tm4 (PBE-GGA)

Data for a relaxed structure of Pm4Nd3Tm4.

Cell: 3.611 5.071 20.027 Å, 97.26 95.18 90.03°
Element x y z (fractional)
Pm 0.546 0.546 0.093
Pm 0.454 0.454 0.907
Pm 0.817 0.817 0.633
Pm 0.183 0.183 0.367
Nd 0.637 0.637 0.274
Nd 0.363 0.363 0.726
Nd 0.000 0.000 0.000
Tm 0.092 0.091 0.183
Tm 0.272 0.272 0.544
Tm 0.728 0.728 0.456
Tm 0.908 0.909 0.817

Calculated values
Total moment = 0.000 μB per cell
Density = 7.740 g cm⁻³
Symmetry = No. 71
Crystal system = orthorhombic

Entry x
## Pm4Nd3Tm4 (PBE-GGA)

Data for a relaxed structure of Pm4Nd3Tm4.

Cell: 5.729 6.677 10.732 Å, 90.00 90.00 115.41°
Element x y z (fractional)
Pm 0.752 0.503 0.787
Pm 0.752 0.503 0.213
Pm 0.884 0.768 0.500
Pm 0.959 0.919 0.000
Nd 0.411 0.822 0.289
Nd 0.411 0.822 0.711
Nd 0.253 0.506 0.000
Tm 0.611 0.223 0.500
Tm 0.556 0.112 0.000
Tm 0.105 0.209 0.697
Tm 0.105 0.209 0.303

Calculated values
Total moment = 0.000 μB per cell
Density = 7.562 g cm⁻³
Symmetry = No. 38
Crystal system = orthorhombic

Name the least stable of them. entry x.

Entry w
## Pm12NdTm7 (PBE-GGA)

Data for a relaxed structure of Pm12NdTm7.

Cell: 8.822 8.822 8.822 Å, 98.21 98.21 98.21°
Element x y z (fractional)
Pm 0.763 0.237 0.500
Pm 0.763 0.500 0.237
Pm 0.358 0.091 0.358
Pm 0.909 0.642 0.642
Pm 0.500 0.237 0.763
Pm 0.642 0.642 0.909
Pm 0.358 0.358 0.091
Pm 0.500 0.763 0.237
Pm 0.091 0.358 0.358
Pm 0.642 0.909 0.642
Pm 0.237 0.500 0.763
Pm 0.237 0.763 0.500
Nd 0.000 0.000 0.000
Tm 0.099 0.661 0.099
Tm 0.339 0.901 0.901
Tm 0.901 0.901 0.339
Tm 0.500 0.500 0.500
Tm 0.099 0.099 0.661
Tm 0.661 0.099 0.099
Tm 0.901 0.339 0.901

Calculated values
Total moment = 2.902 μB per cell
Density = 7.678 g cm⁻³
Symmetry = No. 166
Crystal system = trigonal

Entry x
## Pm12NdTm7 (PBE-GGA)

Data for a relaxed structure of Pm12NdTm7.

Cell: 9.975 9.975 9.975 Å, 109.47 109.47 109.47°
Element x y z (fractional)
Pm 0.487 0.745 0.742
Pm 0.003 0.745 0.258
Pm 0.513 0.255 0.258
Pm 0.997 0.255 0.742
Pm 0.742 0.997 0.255
Pm 0.742 0.487 0.745
Pm 0.258 0.003 0.745
Pm 0.258 0.513 0.255
Pm 0.745 0.742 0.487
Pm 0.255 0.258 0.513
Pm 0.745 0.258 0.003
Pm 0.255 0.742 0.997
Nd 0.000 0.000 0.000
Tm 0.500 0.500 0.000
Tm 0.000 0.500 0.500
Tm 0.500 0.000 0.500
Tm 0.500 0.500 0.500
Tm 0.000 0.000 0.500
Tm 0.500 0.000 0.000
Tm 0.000 0.500 0.000

Calculated values
Total moment = 0.000 μB per cell
Density = 6.665 g cm⁻³
Symmetry = No. 204
Crystal system = cubic

Name the least stable of them. entry x.

Entry w
## Pm7NdTm12 (PBE-GGA)

Data for a relaxed structure of Pm7NdTm12.

Cell: 9.694 9.694 9.694 Å, 109.47 109.47 109.47°
Element x y z (fractional)
Pm 0.500 0.500 0.000
Pm 0.000 0.500 0.500
Pm 0.500 0.000 0.500
Pm 0.500 0.500 0.500
Pm 0.000 0.000 0.500
Pm 0.500 0.000 0.000
Pm 0.000 0.500 0.000
Nd 0.000 0.000 0.000
Tm 0.499 0.749 0.749
Tm 0.000 0.749 0.251
Tm 0.501 0.251 0.251
Tm 0.000 0.251 0.749
Tm 0.749 0.000 0.251
Tm 0.749 0.499 0.749
Tm 0.251 0.000 0.749
Tm 0.251 0.501 0.251
Tm 0.749 0.749 0.499
Tm 0.251 0.251 0.501
Tm 0.749 0.251 0.000
Tm 0.251 0.749 0.000

Calculated values
Total moment = 0.000 μB per cell
Density = 7.545 g cm⁻³
Symmetry = No. 229
Crystal system = cubic

Entry x
## Pm7NdTm12 (PBE-GGA)

Data for a relaxed structure of Pm7NdTm12.

Cell: 8.732 8.732 8.732 Å, 86.03 86.03 86.03°
Element x y z (fractional)
Pm 0.842 0.602 0.930
Pm 0.398 0.070 0.158
Pm 0.070 0.158 0.398
Pm 0.500 0.500 0.500
Pm 0.930 0.842 0.602
Pm 0.602 0.930 0.842
Pm 0.158 0.398 0.070
Nd 0.000 0.000 0.000
Tm 0.852 0.262 0.726
Tm 0.738 0.274 0.148
Tm 0.622 0.133 0.497
Tm 0.867 0.503 0.378
Tm 0.274 0.148 0.738
Tm 0.503 0.378 0.867
Tm 0.497 0.622 0.133
Tm 0.726 0.852 0.262
Tm 0.133 0.497 0.622
Tm 0.378 0.867 0.503
Tm 0.262 0.726 0.852
Tm 0.148 0.738 0.274

Calculated values
Total moment = 0.000 μB per cell
Density = 8.002 g cm⁻³
Symmetry = No. 148
Crystal system = trigonal

Name the least stable of them. entry w.

Entry w
## Pm3Nd4Tm4 (PBE-GGA)

Data for a relaxed structure of Pm3Nd4Tm4.

Cell: 5.728 6.678 10.741 Å, 90.00 90.00 115.40°
Element x y z (fractional)
Pm 0.412 0.823 0.289
Pm 0.412 0.823 0.711
Pm 0.253 0.506 0.000
Nd 0.753 0.505 0.788
Nd 0.753 0.505 0.212
Nd 0.882 0.764 0.500
Nd 0.960 0.920 0.000
Tm 0.609 0.219 0.500
Tm 0.556 0.111 0.000
Tm 0.105 0.210 0.696
Tm 0.105 0.210 0.304

Calculated values
Total moment = 0.000 μB per cell
Density = 7.549 g cm⁻³
Symmetry = No. 38
Crystal system = orthorhombic

Entry x
## Pm3Nd4Tm4 (PBE-GGA)

Data for a relaxed structure of Pm3Nd4Tm4.

Cell: 3.615 5.078 20.040 Å, 97.27 95.16 90.02°
Element x y z (fractional)
Pm 0.637 0.637 0.274
Pm 0.363 0.363 0.726
Pm 0.000 0.000 0.000
Nd 0.546 0.546 0.093
Nd 0.454 0.454 0.907
Nd 0.817 0.817 0.634
Nd 0.183 0.183 0.366
Tm 0.092 0.092 0.184
Tm 0.272 0.272 0.544
Tm 0.728 0.728 0.456
Tm 0.908 0.908 0.816

Calculated values
Total moment = 0.000 μB per cell
Density = 7.711 g cm⁻³
Symmetry = No. 2
Crystal system = triclinic

Name the least stable of them. entry w.